Material: NbFe3P6O24
Method: DFT, GGA+U
State: relaxed

magnetic moment = 19.2 Bohr magnetons per cell
VASP energy = -0.5244 Ry/atom

a b c (Å): 9.021 9.021 9.021
angles (deg): 58.06 58.06 58.06
Fractional positions:
1 Nb 0.000 0.000 0.000
2 Fe 0.215 0.215 0.215
3 Fe 0.502 0.502 0.502
4 Fe 0.717 0.717 0.717
5 P 0.110 0.396 0.823
6 P 0.329 0.891 0.605
7 P 0.396 0.823 0.110
8 P 0.605 0.329 0.891
9 P 0.823 0.110 0.396
10 P 0.891 0.605 0.329
11 O 0.056 0.425 0.313
12 O 0.069 0.229 0.862
13 O 0.127 0.368 0.997
14 O 0.146 0.936 0.771
15 O 0.229 0.862 0.069
16 O 0.295 0.398 0.661
17 O 0.313 0.056 0.425
18 O 0.349 0.716 0.596
19 O 0.368 0.997 0.127
20 O 0.398 0.661 0.295
21 O 0.425 0.313 0.056
22 O 0.491 0.859 0.643
23 O 0.577 0.777 0.951
24 O 0.596 0.349 0.716
25 O 0.643 0.491 0.859
26 O 0.661 0.295 0.398
27 O 0.716 0.596 0.349
28 O 0.771 0.146 0.936
29 O 0.777 0.951 0.577
30 O 0.859 0.643 0.491
31 O 0.862 0.069 0.229
32 O 0.936 0.771 0.146
33 O 0.951 0.577 0.777
34 O 0.997 0.127 0.368